(1)
The following is a DFT calculation (GGA-PBE) of a relaxed TaWSe2 crystal.

abc: 6.582 6.582 6.582
angles: 90.00 90.00 90.00
Space group F-43m (No. 216)
One atom of each set of equivalent atoms:
Ta 0.000 0.000 0.000
W 0.250 0.250 0.750
Se 0.000 0.000 0.500
Se 0.250 0.250 0.250

Properties
Formation energy (no corrections): 680 meV per atom

(2)
The following is a DFT calculation (GGA-PBE) of a relaxed Rb2ScCu crystal.

abc: 8.786 8.786 8.786
angles: 90.00 90.00 90.00
Space group Fm-3m (No. 225)
One atom of each set of equivalent atoms:
Rb 0.250 0.250 0.250
Sc 0.000 0.000 0.000
Cu 0.000 0.000 0.500

Properties
ΔH_f (0 K): 0.98 eV/atom

no.,volume (Å³ per cell),distance to the lowest polymorph of the same formula (meV/atom),total magnetic moment (μB/f.u.)
1,285,1007.6,0.0
2,678,314.6,1.8